No. 1
VASP calculation (GGA-PBE) on a relaxed PBrCl crystal.

Lattice parameters (Å, degrees): 8.4774 7.5288 4.6328 84.84 62.19 32.97
Site moments in Bohr magnetons follow the coordinates.
Fractional positions:
Br: 0.9546 0.9546 0.0454  0.05
P: 0.3297 0.3297 0.6703  0.39
Cl: 0.7157 0.7157 0.2843  0.04

ΔE to the lowest computed polymorph = 495.6 meV/atom
Mass density = 2.189 g/cm³
Final energy = -8.77 eV per cell
SG = No. 42
Magnetic moment = 0.99 μB per formula unit



No. 2
VASP calculation (GGA-PBE) on a relaxed PBr2Cl crystal.

Lattice parameters (Å, degrees): 5.1226 5.1226 5.1226 124.89 124.89 81.72
Fractional positions:
Br: 0.0000 0.0000 0.0000
P: 0.7500 0.2500 0.5000
Br: 0.2500 0.7500 0.5000
Cl: 0.5000 0.5000 0.0000

ΔE to the lowest computed polymorph = 1245.6 meV/atom
Mass density = 4.317 g/cm³
Final energy = -7.50 eV per cell
SG = No. 119
Magnetic moment = 0.00 μB per formula unit



No. 3
VASP calculation (GGA-PBE) on a relaxed PBr2Cl crystal.

Lattice parameters (Å, degrees): 8.1737 8.1737 3.3568 90.00 90.00 144.77
Site moments in Bohr magnetons follow the coordinates.
Fractional positions:
Cl: 0.5000 0.0000 0.5000  0.03
Br: 0.5000 0.5000 0.0000  0.01
Br: 0.0000 0.0000 0.0000  0.01
P: 0.0000 0.5000 0.5000  0.43

ΔE to the lowest computed polymorph = 950.7 meV/atom
Mass density = 2.904 g/cm³
Final energy = -8.67 eV per cell
SG = No. 65
Magnetic moment = 1.04 μB per formula unit



No. 4
VASP calculation (GGA-PBE) on a relaxed PBr2Cl crystal.

Lattice parameters (Å, degrees): 5.5525 5.5525 5.6345 78.15 78.15 126.13
Site moments in Bohr magnetons follow the coordinates.
Fractional positions:
Br: 0.0000 0.0000 0.0000  -0.01
Cl: 0.5000 0.0000 0.5000  0.01
P: 0.0000 0.5000 0.5000  0.66
Br: 0.5000 0.5000 0.0000  -0.01

ΔE to the lowest computed polymorph = 959.4 meV/atom
Mass density = 3.004 g/cm³
Final energy = -8.64 eV per cell
SG = No. 12
Magnetic moment = 1.44 μB per formula unit